Entry from Alexandria: DyCd2Hg8 after structural relaxation (PBE).

Structure (POSCAR):
```
DyCd2Hg8
1.0
-0.211 -2.567 -3.841
0.770 -7.965 5.245
-6.034 -4.252 3.156
Dy Cd Hg
1 2 8
Cartesian
-0.106 -1.283 -1.920 Dy
-1.106 -4.045 2.746 Cd
-4.158 -8.172 5.654 Cd
-1.816 -4.033 -2.773 Hg
-4.370 -8.139 0.094 Hg
0.145 -3.872 -0.210 Hg
-2.448 -9.379 3.583 Hg
-3.027 -5.405 0.977 Hg
0.413 -6.660 1.614 Hg
-1.105 -6.645 4.466 Hg
-3.659 -10.750 7.332 Hg
```

Output
E_form: -82 meV per atom
size of the total moment: 0.0 μB/cell

---

Entry from Alexandria: BaNiIr2 after structural relaxation (PBE).

Structure (POSCAR):
```
BaNiIr2
1.0
4.912 0.000 0.000
0.000 4.912 0.000
2.456 2.456 8.360
Ni Ir Ba
2 4 2
Cartesian
2.456 2.456 0.000 Ni
2.456 4.912 4.180 Ni
2.455 1.228 2.090 Ir
2.456 3.684 2.090 Ir
3.684 4.912 6.270 Ir
6.139 4.911 6.270 Ir
0.000 0.000 0.000 Ba
4.912 2.456 4.180 Ba
```

Output
E_form: 251 meV per atom
size of the total moment: 0.0 μB/cell

---

Entry from Alexandria: GaH2Cl3 after structural relaxation (PBE).

Structure (POSCAR):
```
GaH2Cl3
1.0
6.829 0.000 0.943
0.000 6.572 0.000
2.192 0.000 6.536
Ga H Cl
2 4 6
Cartesian
0.527 1.643 0.437 Ga
8.493 4.929 7.041 Ga
6.455 1.643 5.840 H
2.565 4.929 1.638 H
2.085 4.929 2.217 H
6.935 1.643 5.261 H
6.844 4.929 5.674 Cl
2.176 1.643 1.804 Cl
5.819 3.286 2.160 Cl
5.819 0.000 2.160 Cl
3.201 3.286 5.318 Cl
3.201 0.000 5.318 Cl
```

Output
uncorrected energy: -19.50 eV per formula unit
size of the total moment: 0.2 μB/cell

---

Entry from Alexandria: NdDy2Ni after structural relaxation (PBE).

Structure (POSCAR):
```
NdDy2Ni
1.0
-3.624 0.864 -0.246
-2.377 -2.370 -1.636
-3.548 -4.646 7.624
Ni Nd Dy
1 1 2
Cartesian
0.000 0.000 0.000 Ni
-4.775 -3.076 2.871 Nd
-2.272 -1.230 0.822 Dy
-7.277 -4.922 4.920 Dy
```

Output
E_form: -95 meV per atom
size of the total moment: 0.0 μB/cell

---

Entry from Alexandria: CuPdPb2F after structural relaxation (PBE).

Structure (POSCAR):
```
CuPdPb2F
1.0
5.156 0.000 0.000
0.000 4.682 0.000
0.000 0.000 5.156
Pb Cu Pd F
2 1 1 1
Cartesian
0.000 0.000 2.578 Pb
2.578 0.000 0.000 Pb
0.000 0.000 0.000 Cu
0.000 2.341 0.000 Pd
2.578 2.341 2.578 F
```

Output
energy relative to the elements, uncorrected: 25 meV per atom
size of the total moment: 0.0 μB/cell

---

Question: What is the formula in the second record?
Answer: BaNiIr2